# PBE CsTlBiPd2, optimized geometry
data_CsTlBiPd2
_space_group_name_H-M_alt 'P 1'
_space_group_IT_number 1
_cell_length_a 4.869
_cell_length_b 9.102
_cell_length_c 7.806
_cell_angle_alpha 101.28
_cell_angle_beta 90.00
_cell_angle_gamma 90.00
loop_
_space_group_symop_operation_xyz
'x,y,z'
loop_
_atom_site_label
_atom_site_type_symbol
_atom_site_fract_x
_atom_site_fract_y
_atom_site_fract_z
Tl1 Tl 0.250 0.264 0.472
Tl2 Tl 0.750 0.736 0.528
Pd1 Pd 0.250 0.489 0.780
Pd2 Pd 0.250 0.573 0.448
Pd3 Pd 0.750 0.427 0.552
Pd4 Pd 0.750 0.511 0.220
Cs1 Cs 0.750 0.136 0.811
Cs2 Cs 0.250 0.864 0.189
Bi1 Bi 0.750 0.604 0.891
Bi2 Bi 0.250 0.396 0.109
# Energy relative to the elements, meV/atom: -242.8
# SG: No. 11


# PBE Ce4CdRu5, optimized geometry
data_Ce4CdRu5
_space_group_name_H-M_alt 'P 1'
_space_group_IT_number 1
_cell_length_a 5.398
_cell_length_b 9.566
_cell_length_c 8.120
_cell_angle_alpha 90.00
_cell_angle_beta 90.00
_cell_angle_gamma 90.00
loop_
_space_group_symop_operation_xyz
'x,y,z'
loop_
_atom_site_label
_atom_site_type_symbol
_atom_site_fract_x
_atom_site_fract_y
_atom_site_fract_z
Ru1 Ru 0.255 0.731 0.300
Ru2 Ru 0.253 0.000 0.500
Ru3 Ru 0.745 0.231 0.200
Ru4 Ru 0.255 0.269 0.300
Ru5 Ru 0.747 0.500 0.000
Ru6 Ru 0.745 0.769 0.200
Ru7 Ru 0.745 0.769 0.800
Ru8 Ru 0.255 0.269 0.700
Ru9 Ru 0.745 0.231 0.800
Ru10 Ru 0.255 0.731 0.700
Ce1 Ce 0.263 0.306 0.000
Ce2 Ce 0.118 0.000 0.786
Ce3 Ce 0.737 0.806 0.500
Ce4 Ce 0.118 0.000 0.214
Ce5 Ce 0.263 0.694 0.000
Ce6 Ce 0.882 0.500 0.714
Ce7 Ce 0.882 0.500 0.286
Ce8 Ce 0.737 0.194 0.500
Cd1 Cd 0.612 0.000 0.000
Cd2 Cd 0.388 0.500 0.500
# Energy relative to the elements, meV/atom: -123.1
# SG: No. 59